Computed, not measured: crystalline LiAs2 at its relaxed geometry at the PBEsol level of DFT.

Unit cell a=3.525 b=6.937 c=4.851 alpha=90.00 beta=90.00 gamma=90.00
Positions (direct):
Li (0.000, 0.000, 0.000)
Li (0.500, 0.500, 0.500)
As (0.248, 0.380, 0.000)
As (0.252, 0.880, 0.500)
As (0.748, 0.120, 0.500)
As (0.752, 0.620, 0.000)

Output
N(E_F) = 1.388 states/eV per cell
formation energy from the elements = -0.69 eV/f.u.